Sn2HgBi2 after structural relaxation, computed with PBEsol.

Cell: 4.8056 4.8056 7.8831 Å, 107.75 107.75 90.00°
Fractional positions:
Hg (0.0000, 0.0000, 0.0000)
Bi (0.6133, 0.6133, 0.2266)
Bi (0.3867, 0.3867, 0.7734)
Sn (0.7500, 0.2500, 0.5000)
Sn (0.2500, 0.7500, 0.5000)

Values from the calculation:
Energy relative to the elements ... 132 meV per atom
D(E_F) ... 1.7 states/eV per cell
Crystal system ... tetragonal
Total magnetic moment ... 0.0 Bohr magnetons per cell